18
Lattice="-4.146 4.274 4.844 4.146 -4.274 4.844 4.146 4.274 -4.844" Properties=species:S:1:pos:R:3 comment="Ti6Nb2Sn (PBE-GGA, optimized geometry)" sg="Immm (71)" total_energy_ev_per_cell=-139.78 pbc="T T T"
Ti 4.146 2.573 -2.437
Ti 2.376 0.000 1.525
Ti 5.917 0.000 1.525
Ti 1.666 2.585 0.000
Ti 2.481 -1.689 4.844
Ti 0.000 1.701 2.407
Ti 4.146 2.573 2.437
Ti 1.666 5.963 0.000
Ti 2.481 1.689 4.844
Ti -1.770 4.274 3.319
Ti 1.770 4.274 3.319
Ti 0.000 1.701 7.281
Nb 4.146 1.460 0.000
Nb 4.146 0.000 3.444
Nb 0.000 4.274 1.400
Nb 0.000 2.814 4.844
Sn 0.000 0.000 0.000
Sn 0.000 0.000 4.844